ReTe3SeS: relaxed, GGA-PBE.

Properties
The calculation puts the distance to the lowest polymorph of the same formula at 27.5 kJ/mol of formula units. The value obtained for the total moment is 0.00 μB per formula unit. The value obtained for the volume is 29.4 A^3/atom.

a = 7.1469 Å, b = 7.6257 Å, c = 7.9238 Å
α = 109.32°, β = 111.24°, γ = 102.04°
Last column: nearest neighbours and their distance in Å.
Fractional coordinates of all 12 atoms:
Re  0.2139  0.0110  0.0256  2 S 2.35-2.40, 1 Se 2.58
Re  0.7861  0.9890  0.9744  2 S 2.35-2.40, 1 Se 2.58
Te  0.2433  0.0229  0.3801  1 S 2.58, 1 Se 2.66, 1 Re 2.71
Te  0.4330  0.6373  0.6637  1 Re 2.82, 1 Te 2.82
Te  0.4742  0.7912  0.0576  2 Re 2.75-2.83, 1 Te 2.82
Te  0.5258  0.2088  0.9424  2 Re 2.75-2.83, 1 Te 2.82
Te  0.5670  0.3627  0.3363  1 Re 2.82, 1 Te 2.82
Te  0.7567  0.9771  0.6199  1 S 2.58, 1 Se 2.66, 1 Re 2.71
Se  0.0463  0.8051  0.6397  1 Re 2.58, 1 Te 2.66
Se  0.9537  0.1949  0.3603  1 Re 2.58, 1 Te 2.66
S  0.0536  0.2412  0.9768  2 Re 2.35-2.40, 1 Te 2.58
S  0.9464  0.7588  0.0232  2 Re 2.35-2.40, 1 Te 2.58